# 1
Entry from Alexandria via LeMat-Bulk: crystalline NaNiSe2N at its relaxed geometry (PBE).

uncorrected energy	-2.86	eV/atom
symmetry	No. 123
D(E_F)	1.60	states/eV per atom
distance to the lowest polymorph of the same formula	1.472	eV/atom
E_form (uncorrected)	1.622	eV/atom
crystal system	tetragonal

a b c (Å): 5.119 5.119 4.206
angles (deg): 90.00 90.00 90.00
Positions (direct):
Na: 0.000 0.000 0.000
Ni: 0.500 0.500 0.500
Se: 0.000 0.500 0.000
Se: 0.500 0.000 0.000
N: 0.000 0.000 0.500

---

# 2
Entry from Alexandria via LeMat-Bulk: crystalline CaPaNbO6 at its relaxed geometry (PBE).

uncorrected energy	-8.81	eV/atom
symmetry	No. 163
D(E_F)	0.00	states/eV per atom
E_form (uncorrected)	-3.106	eV/atom
crystal system	trigonal

a b c (Å): 5.654 5.654 9.722
angles (deg): 90.00 90.00 120.00
Positions (direct):
Ca: 0.000 0.000 0.000
Ca: 0.000 0.000 0.500
Pa: 0.333 0.667 0.250
Pa: 0.667 0.333 0.750
Nb: 0.333 0.667 0.750
Nb: 0.667 0.333 0.250
O: 0.021 0.372 0.640
O: 0.021 0.648 0.860
O: 0.352 0.372 0.860
O: 0.352 0.979 0.640
O: 0.372 0.021 0.140
O: 0.372 0.352 0.360
O: 0.628 0.648 0.640
O: 0.628 0.979 0.860
O: 0.648 0.021 0.360
O: 0.648 0.628 0.140
O: 0.979 0.352 0.140
O: 0.979 0.628 0.360

---

# 3
Entry from Alexandria via LeMat-Bulk: crystalline Hf3Zr5Cd3 at its relaxed geometry (PBE).

uncorrected energy	-6.80	eV/atom
symmetry	No. 8
D(E_F)	0.92	states/eV per atom
formation enthalpy at 0 K	0.05	eV per atom
crystal system	monoclinic

a b c (Å): 10.602 10.602 8.043
angles (deg): 110.90 110.90 17.28
Positions (direct):
Hf: 0.000 0.000 0.000
Hf: 0.556 0.556 0.365
Hf: 0.919 0.919 0.211
Zr: 0.158 0.158 0.201
Zr: 0.163 0.163 0.652
Zr: 0.323 0.323 0.329
Zr: 0.360 0.360 0.845
Zr: 0.945 0.945 0.601
Cd: 0.583 0.583 0.825
Cd: 0.749 0.749 0.988
Cd: 0.758 0.758 0.532

---

# 4
Entry from Alexandria via LeMat-Bulk: crystalline SrScB2N at its relaxed geometry (PBE).

uncorrected energy	-3.85	eV/atom
symmetry	No. 123
D(E_F)	1.14	states/eV per atom
E_form (uncorrected)	2.093	eV/atom
crystal system	tetragonal

a b c (Å): 4.648 4.648 4.373
angles (deg): 90.00 90.00 90.00
Positions (direct):
Sr: 0.000 0.000 0.000
Sc: 0.500 0.500 0.500
B: 0.000 0.500 0.000
B: 0.500 0.000 0.000
N: 0.000 0.000 0.500

---

# 5
Entry from Alexandria via LeMat-Bulk: crystalline Tl3RuCl at its relaxed geometry (PBE).

uncorrected energy	-2.79	eV/atom
symmetry	No. 221
D(E_F)	0.77	states/eV per atom
distance to the lowest polymorph of the same formula	0.952	eV/atom
E_form (uncorrected)	0.851	eV/atom
crystal system	cubic

a b c (Å): 5.705 5.705 5.705
angles (deg): 90.00 90.00 90.00
Positions (direct):
Tl: 0.000 0.000 0.500
Tl: 0.000 0.500 0.000
Tl: 0.500 0.000 0.000
Ru: 0.500 0.500 0.500
Cl: 0.000 0.000 0.000

---

# 6
Entry from Alexandria via LeMat-Bulk: crystalline Zr2TcH2 at its relaxed geometry (PBE).

uncorrected energy	-6.86	eV/atom
symmetry	No. 127
D(E_F)	0.63	states/eV per atom
distance to the lowest polymorph of the same formula	0.459	eV/atom
crystal system	tetragonal

a b c (Å): 6.319 6.319 3.245
angles (deg): 90.00 90.00 90.00
Positions (direct):
Zr: 0.190 0.310 0.000
Zr: 0.310 0.810 0.000
Zr: 0.690 0.190 0.000
Zr: 0.810 0.690 0.000
Tc: 0.000 0.000 0.500
Tc: 0.500 0.500 0.500
H: 0.141 0.641 0.500
H: 0.359 0.141 0.500
H: 0.641 0.859 0.500
H: 0.859 0.359 0.500